(1)
CaMg2Mo | GGA-PBE | relaxed

Output
* total magnetization: 1.762 μB/f.u.
* energy above the lowest structure with this stoichiometry: 133 meV per atom
* formation energy: 0.496 eV/atom
* symmetry: Fm-3m

abc: 7.092 7.092 7.092
angles: 90.00 90.00 90.00
Fractional coordinates of all 16 atoms:
Ca 0.000 0.000 0.000
Ca 0.000 0.500 0.500
Ca 0.500 0.000 0.500
Ca 0.500 0.500 0.000
Mg 0.250 0.250 0.250
Mg 0.250 0.250 0.750
Mg 0.250 0.750 0.250
Mg 0.250 0.750 0.750
Mg 0.750 0.250 0.250
Mg 0.750 0.250 0.750
Mg 0.750 0.750 0.250
Mg 0.750 0.750 0.750
Mo 0.000 0.000 0.500
Mo 0.000 0.500 0.000
Mo 0.500 0.000 0.000
Mo 0.500 0.500 0.500



(2)
CaMg2Mo | GGA-PBE | relaxed

Output
* total magnetization: 2.930 μB/f.u.
* energy above the lowest structure with this stoichiometry: 210 meV per atom
* formation energy: 0.573 eV/atom
* symmetry: F-43m

abc: 7.184 7.184 7.184
angles: 90.00 90.00 90.00
Fractional coordinates of all 16 atoms:
Ca 0.000 0.000 0.000
Ca 0.000 0.500 0.500
Ca 0.500 0.000 0.500
Ca 0.500 0.500 0.000
Mg 0.000 0.000 0.500
Mg 0.000 0.500 0.000
Mg 0.250 0.250 0.250
Mg 0.250 0.750 0.750
Mg 0.500 0.000 0.000
Mg 0.500 0.500 0.500
Mg 0.750 0.250 0.750
Mg 0.750 0.750 0.250
Mo 0.250 0.250 0.750
Mo 0.250 0.750 0.250
Mo 0.750 0.250 0.250
Mo 0.750 0.750 0.750



(3)
Ca2MgMo | GGA-PBE | relaxed

Output
* total magnetization: 0.093 μB/f.u.
* formation energy: 0.637 eV/atom
* symmetry: C2/m

abc: 6.508 9.801 3.122
angles: 90.00 90.17 90.00
Fractional coordinates of all 8 atoms:
Ca 0.250 0.250 0.000
Ca 0.250 0.750 0.000
Ca 0.750 0.250 0.000
Ca 0.750 0.750 0.000
Mg 0.000 0.000 0.500
Mg 0.500 0.500 0.500
Mo 0.000 0.500 0.500
Mo 0.500 0.000 0.500



(4)
CaMgMo | GGA-PBE | relaxed

Output
* total magnetization: 0.000 μB/f.u.
* energy above the lowest structure with this stoichiometry: 123 meV per atom
* formation energy: 0.645 eV/atom
* symmetry: P3m1

abc: 5.103 5.103 2.800
angles: 90.00 90.00 120.00
Fractional coordinates of all 3 atoms:
Ca 0.000 0.000 0.000
Mg 0.667 0.333 0.333
Mo 0.333 0.667 0.593